No. 1
This record from Alexandria via LeMat-Bulk describes Ba3PaW2N8 after structural relaxation. The functional is PBE.

Calculated values
ΔE_f (raw) (eV/atom): -0.935

Cell lengths 6.197, 6.197, 7.893 Å; angles 90.00, 90.00, 120.00 degrees
Positions (direct):
Ba (0.000, 0.000, 0.000)
Ba (0.333, 0.667, 0.675)
Ba (0.667, 0.333, 0.325)
Pa (0.000, 0.000, 0.500)
W (0.333, 0.667, 0.235)
W (0.667, 0.333, 0.765)
N (0.168, 0.336, 0.323)
N (0.168, 0.832, 0.323)
N (0.333, 0.667, 0.005)
N (0.336, 0.168, 0.677)
N (0.664, 0.832, 0.323)
N (0.667, 0.333, 0.995)
N (0.832, 0.168, 0.677)
N (0.832, 0.664, 0.677)

=====

No. 2
This record from Alexandria via LeMat-Bulk describes BaYPaN3 after structural relaxation. The functional is PBE.

Calculated values
ΔE_f (raw) (eV/atom): -1.177

Cell lengths 7.436, 3.537, 10.056 Å; angles 90.00, 91.65, 90.00 degrees
Positions (direct):
Ba (0.125, 0.250, 0.203)
Ba (0.875, 0.750, 0.797)
Y (0.180, 0.250, 0.550)
Y (0.820, 0.750, 0.450)
Pa (0.385, 0.750, 0.867)
Pa (0.615, 0.250, 0.133)
N (0.122, 0.750, 0.417)
N (0.224, 0.250, 0.794)
N (0.418, 0.750, 0.091)
N (0.582, 0.250, 0.909)
N (0.776, 0.750, 0.206)
N (0.878, 0.250, 0.583)